[1]
DFT (PBE-GGA) results for an optimized crystal structure of Ta2SbW.

Values from the calculation:
Crystal system: tetragonal
Total moment (μB/atom): 0.000
Total energy (eV/atom): -10.02

Cell: 3.5218 3.5218 5.9538 Å, 90.00 90.00 90.00°
Space group P4mm (No. 99)
Unique sites:
1 Ta 0.0000 0.0000 0.0000 (multiplicity 1)
2 Ta 0.5000 0.5000 0.2460 (multiplicity 1)
3 Sb 0.5000 0.5000 0.7428 (multiplicity 1)
4 W 0.0000 0.0000 0.4825 (multiplicity 1)

=====

[2]
DFT (PBE-GGA) results for an optimized crystal structure of TaSb4W.

Values from the calculation:
Crystal system: cubic
Total moment (μB/atom): 0.056
Total energy (eV/atom): -5.41

Cell: 8.3110 8.3110 8.3110 Å, 90.00 90.00 90.00°
Space group F-43m (No. 216)
Unique sites:
1 Ta 0.0000 0.0000 0.0000 (multiplicity 4)
2 Sb 0.1249 0.1249 0.3751 (multiplicity 16)
3 W 0.2500 0.2500 0.7500 (multiplicity 4)

=====

no.,formation energy (no corrections) (eV/atom),mass density (g/cm3)
1,0.1707,15.01
2,1.4699,9.86